No. 1
Material: Ce4SmO9
Method: DFT, PBE-GGA
State: relaxed

Output
Total magnetic moment, μB per formula unit: 1.30
Electronic total energy, eV/atom: -8.666

Lattice parameters (Å, degrees): 3.8153 19.7538 5.5443 90.00 90.00 90.00
Last column: nearest neighbours and their distance in Å.
Space group Imm2 (No. 44)
Asymmetric unit:
Ce  0.0000  0.1072  0.0000 (multiplicity 4)  7 O 2.27-2.43
Ce  0.0000  0.3005  0.0082 (multiplicity 4)  7 O 2.32-2.46
Sm  0.0000  0.5000  0.0598 (multiplicity 2)  6 O 2.28-2.38
O  0.0000  0.0000  0.7836 (multiplicity 2)  2 Sm 2.28, 2 Ce 2.43
O  0.0000  0.1969  0.2555 (multiplicity 4)  4 Ce 2.27-2.46
O  0.0000  0.2029  0.7570 (multiplicity 4)  4 Ce 2.32-2.38
O  0.0000  0.3940  0.2602 (multiplicity 4)  3 Ce 2.32-2.33, 1 Sm 2.37
O  0.0000  0.4156  0.7525 (multiplicity 4)  1 Sm 2.38, 2 Ce 2.41


No. 2
Material: NaLaZn2Ru
Method: DFT, PBE-GGA
State: relaxed

Output
Energy of formation, meV per atom: -21
Total magnetic moment, μB per formula unit: 0.00
Electronic total energy, eV/atom: -3.635

Lattice parameters (Å, degrees): 5.0764 5.0764 5.0646 90.00 90.00 90.00
Last column: nearest neighbours and their distance in Å.
Space group P4/mmm (No. 123)
Asymmetric unit:
Na  0.0000  0.0000  0.0000 (multiplicity 1)  8 Zn 3.59, 4 La 3.59
La  0.5000  0.5000  0.0000 (multiplicity 1)  2 Ru 2.53
Zn  0.0000  0.5000  0.5000 (multiplicity 2)  2 Ru 2.54
Ru  0.5000  0.5000  0.5000 (multiplicity 1)  2 La 2.53, 4 Zn 2.54


No. 3
Material: K2TaHg
Method: DFT, PBE-GGA
State: relaxed

Output
Energy of formation, meV per atom: 1014
Total magnetic moment, μB per formula unit: 1.62
Electronic total energy, eV/atom: -2.573

Lattice parameters (Å, degrees): 3.1124 5.5559 6.2676 90.00 90.00 90.00
Last column: nearest neighbours and their distance in Å.
Space group Pmmm (No. 47)
Asymmetric unit:
K  0.0000  0.0000  0.0000 (multiplicity 1)  6 K 3.11-3.18
K  0.5000  0.5000  0.0000 (multiplicity 1)  6 K 3.11-3.18
Ta  0.0000  0.5000  0.5000 (multiplicity 1)  2 Ta 3.11, 4 Hg 3.18
Hg  0.5000  0.0000  0.5000 (multiplicity 1)  2 Hg 3.11, 4 Ta 3.18